The following is a DFT calculation (PBE-GGA) of a relaxed structure of Nd7Er12Tm.

Computed properties:
- ρ: 7.42 Mg/m³
- Energy: -3.970 eV per atom
- Relative energy among the computed polymorphs: 430 meV per atom
- Density of states at the Fermi level: 1.396 states/eV/atom
- Formation energy from the elements: 13.2 eV/f.u.

Cell: 11.253 11.253 11.253 Å, 90.00 90.00 90.00°
Space group Im-3 (No. 204)
Symmetry-distinct sites (fractional):
1 Nd 0.000 0.000 0.500
2 Nd 0.250 0.250 0.250
3 Er 0.000 0.244 0.245
4 Tm 0.000 0.000 0.000